[1]
Here is a geometry-optimized PrHoAl structure from Alexandria. Energies are from PBE.

It has space group P6_3/mmc (No. 194), with a = 5.3583 Å, b = 5.3583 Å, c = 6.7251 Å, α = 90.00°, β = 90.00° and γ = 120.00°. The inequivalent atoms are Pr at (0.0000, 0.0000, 0.0000), Ho at (0.3333, 0.6667, 0.2500) and Al at (0.3333, 0.6667, 0.7500).

The density of states at the Fermi level comes out at 1.29 states/eV/atom. As for the total energy: -4.58 eV/atom. As for the total magnetization: 0.00 μB per formula unit. As for the crystal system: hexagonal.



[2]
Here is a geometry-optimized KBe2P structure from Alexandria. Energies are from PBE.

It has space group P4/mmm (No. 123), with a = 4.155 Å, b = 4.155 Å, c = 4.041 Å, α = 90.00°, β = 90.00° and γ = 90.00°. The inequivalent atoms are K at (0.000, 0.000, 0.000), Be at (0.000, 0.500, 0.500) and P at (0.500, 0.500, 0.000).

The density of states at the Fermi level comes out at 0.45 states/eV/atom. As for the total energy: -2.44 eV/atom. As for the total magnetization: 0.00 μB per formula unit. As for the crystal system: tetragonal.



[3]
Here is a geometry-optimized FeRe2Si2 structure from Alexandria. Energies are from PBE.

It has space group I4/mmm (No. 139), with a = 3.341 Å, b = 3.341 Å, c = 12.873 Å, α = 90.00°, β = 90.00° and γ = 90.00°. The inequivalent atoms are Fe at (0.000, 0.000, 0.000), Re at (0.000, 0.000, 0.393) and Si at (0.000, 0.500, 0.250).

The density of states at the Fermi level comes out at 0.47 states/eV/atom. The calculation puts the formation energy from raw total energies at 121 meV per atom. As for the total magnetization: 3.33 μB per formula unit. As for the crystal system: tetragonal.



[4]
Here is a geometry-optimized KZr2ZnCu structure from Alexandria. Energies are from PBE.

It has space group P4/mmm (No. 123), with a = 5.108 Å, b = 5.108 Å, c = 4.780 Å, α = 90.00°, β = 90.00° and γ = 90.00°. The inequivalent atoms are K at (0.000, 0.000, 0.000), Zr at (0.000, 0.500, 0.500), Zn at (0.500, 0.500, 0.000) and Cu at (0.500, 0.500, 0.500).

The density of states at the Fermi level comes out at 1.19 states/eV/atom. As for the total energy: -3.98 eV/atom. As for the total magnetization: 0.00 μB per formula unit. As for the crystal system: tetragonal.



[5]
Here is a geometry-optimized Pu5ScGe5 structure from Alexandria. Energies are from PBE.

It has space group C2/m (No. 12), with a = 16.174 Å, b = 5.402 Å, c = 6.034 Å, α = 90.00°, β = 108.86° and γ = 90.00°. The inequivalent atoms are Pu at (0.000, 0.000, 0.000), Pu at (0.131, 0.500, 0.218), Pu at (0.187, 0.500, 0.698), Sc at (0.000, 0.000, 0.500), Ge at (0.000, 0.500, 0.500), Ge at (0.164, 0.000, 0.455) and Ge at (0.164, 0.000, 0.891).

The density of states at the Fermi level comes out at 3.54 states/eV/atom. As for the total energy: -9.46 eV/atom. As for the total magnetization: 5.20 μB per formula unit. As for the crystal system: monoclinic.



[6]
Here is a geometry-optimized Li3CaPb3 structure from Alexandria. Energies are from PBE.

It has space group Pm-3n (No. 223), with a = 7.440 Å, b = 7.440 Å, c = 7.440 Å, α = 90.00°, β = 90.00° and γ = 90.00°. The inequivalent atoms are Li at (0.000, 0.250, 0.500), Ca at (0.000, 0.000, 0.000) and Pb at (0.000, 0.500, 0.250).

The density of states at the Fermi level comes out at 0.48 states/eV/atom. As for the total energy: -2.58 eV/atom. As for the total magnetization: 0.00 μB per formula unit. As for the crystal system: cubic.



[7]
Here is a geometry-optimized Nd4Te2IrBr structure from Alexandria. Energies are from PBE.

It has space group P2/m (No. 10), with a = 7.708 Å, b = 4.264 Å, c = 7.782 Å, α = 90.00°, β = 107.92° and γ = 90.00°. The inequivalent atoms are Nd at (0.210, 0.000, 0.210), Nd at (0.232, 0.500, 0.764), Te at (0.000, 0.000, 0.500), Te at (0.500, 0.500, 0.500), Ir at (0.000, 0.500, 0.000) and Br at (0.500, 0.000, 0.000).

The density of states at the Fermi level comes out at 0.72 states/eV/atom. The calculation puts the formation energy from raw total energies at -1193 meV per atom. As for the total magnetization: 0.00 μB per formula unit. As for the crystal system: monoclinic.



[8]
Here is a geometry-optimized NiPdSe2I structure from Alexandria. Energies are from PBE.

It has space group P4/mmm (No. 123), with a = 4.535 Å, b = 4.535 Å, c = 5.412 Å, α = 90.00°, β = 90.00° and γ = 90.00°. The inequivalent atoms are Ni at (0.000, 0.000, 0.000), Pd at (0.000, 0.000, 0.500), Se at (0.000, 0.500, 0.000) and I at (0.500, 0.500, 0.500).

The density of states at the Fermi level comes out at 1.76 states/eV/atom. The calculation puts the formation energy from raw total energies at 445 meV per atom. As for the total magnetization: 0.00 μB per formula unit. As for the crystal system: tetragonal.